The following is a PBE calculation of a relaxed structure of Tb7Dy4Cd, from Alexandria via LeMat-Bulk.

abc: 3.5574 3.5574 34.0331
angles: 90.00 90.00 120.00
With the nearest neighbours (Å) after each atom.
Atoms (fractional coordinates):
1 Tb 0.0000 0.0000 0.0000  6 Dy 3.55, 6 Tb 3.56
2 Tb 0.0000 0.0000 0.2554  3 Dy 3.55, 9 Tb 3.56
3 Tb 0.0000 0.0000 0.7446  3 Dy 3.55, 9 Tb 3.56
4 Tb 0.3333 0.6667 0.1701  3 Dy 3.55, 9 Tb 3.56
5 Tb 0.3333 0.6667 0.4250  3 Cd 3.28, 3 Dy 3.53, 6 Tb 3.56
6 Tb 0.6667 0.3333 0.5750  3 Cd 3.28, 3 Dy 3.53, 6 Tb 3.56
7 Tb 0.6667 0.3333 0.8299  3 Dy 3.55, 9 Tb 3.56
8 Dy 0.3333 0.6667 0.6594  6 Tb 3.53-3.55, 6 Dy 3.56
9 Dy 0.3333 0.6667 0.9149  6 Tb 3.55, 6 Dy 3.56
10 Dy 0.6667 0.3333 0.0851  6 Tb 3.55, 6 Dy 3.56
11 Dy 0.6667 0.3333 0.3406  6 Tb 3.53-3.55, 6 Dy 3.56
12 Cd 0.0000 0.0000 0.5000  6 Tb 3.28, 6 Cd 3.56

Computed properties:
- Calculated density: 8.35 g/cm3
- DFT formation energy: -0.012 eV/atom
- Fermi-level density of states: 15.1 states/eV/f.u.
- DFT total energy: -4.324 eV/atom



The following is a PBE calculation of a relaxed structure of RbYP2S8, from Alexandria via LeMat-Bulk.

abc: 6.1881 6.1881 9.5823
angles: 90.00 90.00 120.00
With the nearest neighbours (Å) after each atom.
Atoms (fractional coordinates):
1 Rb 0.0000 0.0000 0.0000  12 S 3.62-3.88
2 Y 0.0000 0.0000 0.5000  6 S 2.77
3 P 0.3333 0.6667 0.7283  4 S 2.04-2.05
4 P 0.6667 0.3333 0.2717  4 S 2.04-2.05
5 S 0.0008 0.3635 0.6697  1 P 2.05
6 S 0.3333 0.6667 0.9407  1 P 2.04
7 S 0.3627 0.9992 0.6697  1 P 2.05
8 S 0.3635 0.3627 0.3303  1 P 2.05
9 S 0.6365 0.6373 0.6697  1 P 2.05
10 S 0.6373 0.0008 0.3303  1 P 2.05
11 S 0.6667 0.3333 0.0593  1 P 2.04
12 S 0.9992 0.6365 0.3303  1 P 2.05

Computed properties:
- Calculated density: 2.58 g/cm3
- Formation energy without anion corrections: -593 meV per atom
- Fermi-level density of states: 9.0 states/eV/f.u.
- DFT total energy: -4.865 eV/atom



Q: The highest DFT total energy belongs to which entry?
A: Tb7Dy4Cd



Q: Which value of calculated density does entry 1 give?
A: 8.35 g/cm3